The following is a DFT calculation (PBE-GGA) of an optimized crystal structure of K4SF.

CIF file:
```
data_K4SF
_chemical_formula_sum 'K4 S1 F1'
_space_group_name_H-M_alt 'P 1'
_space_group_IT_number 1
_space_group_name_Hall 'P 1'
_cell_length_a 5.194
_cell_length_b 5.449
_cell_length_c 8.008
_cell_angle_alpha 70.49
_cell_angle_beta 89.97
_cell_angle_gamma 90.00
loop_
_atom_site_label
_atom_site_type_symbol
_atom_site_fract_x
_atom_site_fract_y
_atom_site_fract_z
K1 K 0.000 0.000 0.000
K2 K 0.001 0.735 0.534
K3 K 0.500 0.515 0.969
K4 K 0.501 0.286 0.432
S1 S 0.500 0.879 0.243
F1 F 0.000 0.559 0.885
```

Calculated values
N(E_F)	1.9	states/eV/cell
raw formation energy	-1.331	eV/atom